(A)
First-principles (PBE) data for a relaxed NaY3Pb crystal, as listed in Alexandria.

total magnetic moment	2.23	μB per cell
DOS at the Fermi energy	1.505	states/eV/atom
crystal system	cubic

Cell: 5.8922 5.8922 5.8922 Å, 90.00 90.00 90.00°
Closest atoms and distances in Å follow each position.
Positions (direct):
Na (0.0000, 0.0000, 0.0000)  12 Y 4.17
Y (0.0000, 0.5000, 0.5000)  2 Pb 2.95
Y (0.5000, 0.0000, 0.5000)  2 Pb 2.95
Y (0.5000, 0.5000, 0.0000)  2 Pb 2.95
Pb (0.5000, 0.5000, 0.5000)  6 Y 2.95

***

(B)
First-principles (PBE) data for a relaxed NaY3Pb crystal, as listed in Alexandria.

total magnetic moment	1.86	μB per cell
DOS at the Fermi energy	1.448	states/eV/atom
crystal system	cubic

Cell: 5.4870 5.4870 5.4870 Å, 90.00 90.00 90.00°
Closest atoms and distances in Å follow each position.
Positions (direct):
Na (0.0000, 0.0000, 0.0000)  6 Y 2.74
Y (0.0000, 0.0000, 0.5000)  2 Na 2.74
Y (0.0000, 0.5000, 0.0000)  2 Na 2.74
Y (0.5000, 0.0000, 0.0000)  2 Na 2.74
Pb (0.5000, 0.5000, 0.5000)  12 Y 3.88

***

Which is most stable, and by how much? (A), by 321 meV/atom.